The following is a PBE calculation of a relaxed ZnCdO2 crystal, from the Alexandria database.

The structure belongs to space group I-42d (No. 122); the cell edges are 4.9376, 4.9376 and 9.5408 Å and the angles 90.00°, 90.00° and 90.00°. The distinct sites, in fractional coordinates, are Zn at (0.0000, 0.0000, 0.0000), Cd at (0.0000, 0.0000, 0.5000) and O at (0.2107, 0.2500, 0.1250).

For the final energy, the calculation gives -4.233 eV per atom. The uncorrected formation energy comes out at -1206 meV per atom.

The following is a PBE calculation of a relaxed Th6AgAu5 crystal, from the Alexandria database.

The structure belongs to space group C2/m (No. 12); the cell edges are 16.5186, 7.5720 and 5.1898 Å and the angles 90.00°, 107.46° and 90.00°. The distinct sites, in fractional coordinates, are Th at (0.0000, 0.2453, 0.0000), Th at (0.1699, 0.2484, 0.6699), Ag at (0.0000, 0.5000, 0.5000), Au at (0.0000, 0.0000, 0.5000), Au at (0.1591, 0.5000, 0.1603) and Au at (0.1651, 0.0000, 0.1652).

For the final energy, the calculation gives -5.785 eV per atom. Its formation energy is -5.7 eV/f.u.

The following is a PBE calculation of a relaxed Li5BeN2 crystal, from the Alexandria database.

The structure belongs to space group P6_3/mmc (No. 194); the cell edges are 3.7421, 3.7421 and 12.2742 Å and the angles 90.00°, 90.00° and 120.00°. The distinct sites, in fractional coordinates, are Li at (0.0000, 0.0000, 0.1317), Li at (0.3333, 0.6667, 0.0419), Li at (0.3333, 0.6667, 0.2500), Be at (0.3333, 0.6667, 0.7500) and N at (0.3333, 0.6667, 0.6211).

For the final energy, the calculation gives -4.077 eV per atom. The uncorrected formation energy comes out at -334 meV per atom.

The following is a PBE calculation of a relaxed Te3HPt crystal, from the Alexandria database.

The structure belongs to space group Pm-3m (No. 221); the cell edges are 5.3849, 5.3849 and 5.3849 Å and the angles 90.00°, 90.00° and 90.00°. The distinct sites, in fractional coordinates, are Te at (0.0000, 0.0000, 0.5000), H at (0.5000, 0.5000, 0.5000) and Pt at (0.0000, 0.0000, 0.0000).

For the final energy, the calculation gives -2.962 eV per atom.

The following is a PBE calculation of a relaxed Na2TmTiS4 crystal, from the Alexandria database.

The structure belongs to space group P2/m (No. 10); the cell edges are 6.5368, 3.7587 and 7.0183 Å and the angles 90.00°, 108.02° and 90.00°. The distinct sites, in fractional coordinates, are Na at (0.0000, 0.0000, 0.0000), Na at (0.5000, 0.5000, 0.0000), Tm at (0.0000, 0.5000, 0.5000), Ti at (0.5000, 0.0000, 0.5000), S at (0.2565, 0.0000, 0.7218) and S at (0.2771, 0.5000, 0.2869).

For the final energy, the calculation gives -5.499 eV per atom. The uncorrected formation energy comes out at -1559 meV per atom.

The following is a PBE calculation of a relaxed NpInRuPt crystal, from the Alexandria database.

The structure belongs to space group F-43m (No. 216); the cell edges are 6.7213, 6.7213 and 6.7213 Å and the angles 90.00°, 90.00° and 90.00°. The distinct sites, in fractional coordinates, are Np at (0.0000, 0.0000, 0.0000), In at (0.0000, 0.0000, 0.5000), Ru at (0.2500, 0.2500, 0.2500) and Pt at (0.2500, 0.2500, 0.7500).

For the final energy, the calculation gives -7.978 eV per atom. Its formation energy is -0.9 eV/f.u.

Q: Which value of final energy does entry 2 give?
A: -5.785 eV per atom